Record 1
Computed, not measured: a geometry-optimized AgAsPbS3 structure at the PBE level of DFT.

energy above the lowest structure with this stoichiometry: 0.013 eV/atom

a = 6.9531 Å, b = 6.9531 Å, c = 7.6303 Å
α = 100.12°, β = 100.12°, γ = 122.78°
Fractional coordinates of all 12 atoms:
Pb: 0.9500 0.0934 0.7571
Ag: 0.7347 0.2659 0.2617
S: 0.9924 0.5269 0.9592
As: 0.4284 0.6266 0.2961
S: 0.1689 0.4108 0.4503
Ag: 0.2659 0.7347 0.7617
S: 0.7832 0.6727 0.4433
As: 0.6266 0.4284 0.7961
S: 0.5269 0.9924 0.4592
S: 0.6727 0.7832 0.9433
S: 0.4108 0.1689 0.9503
Pb: 0.0934 0.9500 0.2571


Record 2
Computed, not measured: a geometry-optimized Ag2AsPd structure at the PBE level of DFT.

uncorrected energy: -3.88 eV per atom

a = 4.5784 Å, b = 4.5784 Å, c = 4.5784 Å
α = 60.00°, β = 60.00°, γ = 60.00°
Fractional coordinates of all 4 atoms:
Pd: 0.2500 0.2500 0.2500
Ag: 0.0000 0.0000 0.0000
As: 0.5000 0.5000 0.5000
Ag: 0.7500 0.7500 0.7500